Record 1
Compound: MgPtRhC2
Source: the Alexandria database
Functional: PBE
Structure: optimized geometry

```
MgPtRhC2
1.0
3.909 0.000 0.000
0.000 5.145 0.000
0.000 0.000 3.909
C Rh Pt Mg
2 1 1 1
direct
0.500 0.000 0.000
0.000 0.000 0.500
0.500 0.500 0.500
0.000 0.000 0.000
0.000 0.500 0.000
```

Results
**Volume**: 15.72 A^3/atom
**SG**: P4/mmm, No. 123
**Distance to the lowest polymorph of the same formula**: 216 meV per atom
**E_form**: 1.54 eV per atom
**Total DFT energy (no corrections)**: -5.150 eV/atom
**Total magnetic moment**: 0.00 μB per formula unit

Record 2
Compound: SiH2I
Source: the Alexandria database
Functional: PBE
Structure: optimized geometry

```
SiH2I
1.0
0.000 2.986 2.986
2.986 0.000 2.986
2.986 2.986 0.000
I Si H
1 1 2
direct
0.500 0.500 0.500
0.000 0.000 0.000
0.750 0.750 0.750
0.250 0.250 0.250
```

Results
**Volume**: 13.32 A^3/atom
**SG**: Fm-3m, No. 225
**Distance to the lowest polymorph of the same formula**: 1089 meV per atom
**Total DFT energy (no corrections)**: -2.275 eV/atom
**Total magnetic moment**: 0.00 μB per formula unit